# LiIrOs

An optimized crystal structure of LiIrOs (PBE-GGA, Alexandria).

extended XYZ file:
```
12
Lattice="-4.016 3.156 0.531 -2.392 -3.150 0.634 1.423 0.494 7.825" Properties=species:S:1:pos:R:3 pbc="T T T"
Ir -1.636 0.680 3.534
Ir -0.902 -1.606 7.602
Ir -3.349 -0.180 5.456
Ir -4.082 2.105 1.387
Os -2.779 2.170 6.626
Os -4.153 -0.071 2.960
Os -2.205 -1.670 2.363
Os -0.832 0.571 6.029
Li -3.641 2.304 4.043
Li -2.827 -0.044 8.100
Li -1.344 -1.804 4.947
Li -2.158 0.544 0.890
```

* ΔE to the lowest computed polymorph: 57 kJ/mol of formula units